[1]
This record from OQMD via LeMat-Bulk describes a geometry-optimized CsAgPtS3 structure. The functional is PBE.

Results
The calculation puts the total magnetization at 0.37 Bohr magnetons per cell. The calculated density comes out at 5.8 Mg/m³. For the volume, the calculation gives 152.5 Å³/f.u. Its space group is Cmcm.

Cell lengths 8.098, 8.098, 10.282 Å; angles 90.00, 90.00, 153.10 degrees
Fractional positions:
Pt (0.000, 0.000, 0.000)
Pt (0.000, 0.000, 0.500)
S (0.598, 0.402, 0.483)
S (0.402, 0.598, 0.983)
S (0.043, 0.957, 0.750)
S (0.957, 0.043, 0.250)
S (0.402, 0.598, 0.517)
S (0.598, 0.402, 0.017)
Cs (0.267, 0.733, 0.250)
Cs (0.733, 0.267, 0.750)
Ag (0.431, 0.569, 0.750)
Ag (0.569, 0.431, 0.250)

---

[2]
This record from OQMD via LeMat-Bulk describes a geometry-optimized Be2ZnPt2 structure. The functional is PBE.

Results
The calculation puts the total magnetization at 0.00 Bohr magnetons per cell. The calculated density comes out at 12.3 Mg/m³. For the volume, the calculation gives 63.8 Å³/f.u. Its space group is I4/mmm.

Cell lengths 6.819, 6.819, 6.819 Å; angles 153.33, 153.33, 38.07 degrees
Fractional positions:
Zn (0.000, 0.000, 0.000)
Pt (0.383, 0.383, 0.000)
Pt (0.617, 0.617, 0.000)
Be (0.250, 0.750, 0.500)
Be (0.750, 0.250, 0.500)

---

[3]
This record from OQMD via LeMat-Bulk describes a geometry-optimized NdGdAg2Sb2As2 structure. The functional is PBE.

Results
The calculation puts the total magnetization at 0.00 Bohr magnetons per cell. The calculated density comes out at 8.0 Mg/m³. For the volume, the calculation gives 187.9 Å³/f.u. Its space group is P4mm.

Cell lengths 4.218, 4.218, 10.562 Å; angles 90.00, 90.00, 90.00 degrees
Fractional positions:
As (0.000, 0.500, 0.505)
As (0.500, 0.000, 0.505)
Gd (0.500, 0.500, 0.717)
Ag (0.500, 0.000, 0.997)
Ag (0.000, 0.500, 0.997)
Sb (0.500, 0.500, 0.182)
Sb (0.000, 0.000, 0.811)
Nd (0.000, 0.000, 0.285)

---

Taking the records one at a time from the top gives energy values of -4.013; -4.668; -4.746 eV per atom.